Cs2LiCd3Bi4: relaxed, PBE.

Structure (POSCAR):
```
Cs2LiCd3Bi4
1.0
5.229 0.000 0.000
0.000 5.229 0.000
0.000 0.000 12.561
Cs Li Cd Bi
2 1 3 4
Cartesian
0.000 2.614 3.032
2.614 0.000 9.528
2.614 2.614 0.000
0.000 0.000 0.000
0.000 2.614 8.051
2.614 0.000 4.510
0.000 0.000 6.280
0.000 2.614 11.012
2.614 0.000 1.549
2.614 2.614 6.280
```

Calculated values
**V**: 34.3 A^3/atom
**E_form**: -0.2876 eV/atom
**Magnetization**: 0.00 μB/cell
**E**: -2.48 eV/atom